A plane-wave DFT calculation with PBE was carried out for a geometry-optimized ErPaTlAu structure.

Volume: 25.34 Å³ per atom
Total DFT energy (no corrections): -20.3 eV/cell
Formation enthalpy at 0 K: -0.14 eV/atom

Cell: 5.233 5.233 5.233 Å, 60.00 60.00 60.00°
Each line ends with the local moment (μB).
Atoms (fractional coordinates):
Pa1 0.500 0.500 0.500  1.17
Tl1 0.750 0.750 0.750  0.00
Au1 0.250 0.250 0.250  0.05
Er1 0.000 0.000 0.000  0.36


A plane-wave DFT calculation with PBE was carried out for a geometry-optimized Cs2CdSiSe4 structure.

Volume: 37.91 Å³ per atom
Total DFT energy (no corrections): -58.4 eV/cell

Cell: 6.476 7.945 13.309 Å, 84.31 75.92 65.95°
Atoms (fractional coordinates):
Si1 0.250 0.500 0.500
Si2 0.500 0.000 0.000
Se1 0.499 0.315 0.603
Se2 0.186 0.315 0.397
Se3 0.334 0.815 0.103
Se4 0.416 0.685 0.397
Se5 0.899 0.685 0.603
Se6 0.851 0.815 0.897
Se7 0.564 0.185 0.103
Se8 0.251 0.185 0.897
Cs1 0.570 0.500 0.860
Cs2 0.180 0.000 0.640
Cs3 0.930 0.500 0.140
Cs4 0.820 0.000 0.360
Cd1 0.000 0.000 0.000
Cd2 0.750 0.500 0.500